Entry 1:
# PBE-GGA KP2Os, optimized geometry
data_KP2Os
_cell_length_a 8.4057
_cell_length_b 8.4057
_cell_length_c 8.4057
_cell_angle_alpha 159.52
_cell_angle_beta 158.71
_cell_angle_gamma 29.71
_space_group_name_H-M_alt 'P 1'
_space_group_IT_number 1
loop_
_space_group_symop_operation_xyz
'x,y,z'
loop_
_atom_site_label
_atom_site_type_symbol
_atom_site_fract_x
_atom_site_fract_y
_atom_site_fract_z
K1 K 0.5594 0.5594 0.0000
Os1 Os 0.8002 0.3002 0.5000
P1 P 0.9144 0.9144 0.0000
P2 P 0.2260 0.7260 0.5000
# Crystal system: orthorhombic
# Relative energy among the computed polymorphs (eV per atom): 0.128
# VASP energy (eV per atom): -5.820

=====

Entry 2:
# PBE-GGA KCa2Pb2, optimized geometry
data_KCa2Pb2
_cell_length_a 5.8252
_cell_length_b 5.8252
_cell_length_c 7.4438
_cell_angle_alpha 66.97
_cell_angle_beta 66.97
_cell_angle_gamma 90.00
_space_group_name_H-M_alt 'P 1'
_space_group_IT_number 1
loop_
_space_group_symop_operation_xyz
'x,y,z'
loop_
_atom_site_label
_atom_site_type_symbol
_atom_site_fract_x
_atom_site_fract_y
_atom_site_fract_z
Pb1 Pb 0.7500 0.2500 0.5000
Pb2 Pb 0.2500 0.7500 0.5000
Ca1 Ca 0.3466 0.3466 0.3069
Ca2 Ca 0.6534 0.6534 0.6931
K1 K 0.0000 0.0000 0.0000
# Crystal system: tetragonal
# Relative energy among the computed polymorphs (eV per atom): 0.293
# VASP energy (eV per atom): -2.610

=====

Entry 3:
# PBE-GGA PaNi2Rh, optimized geometry
data_PaNi2Rh
_cell_length_a 4.0797
_cell_length_b 8.9186
_cell_length_c 4.8741
_cell_angle_alpha 55.09
_cell_angle_beta 114.73
_cell_angle_gamma 90.00
_space_group_name_H-M_alt 'P 1'
_space_group_IT_number 1
loop_
_space_group_symop_operation_xyz
'x,y,z'
loop_
_atom_site_label
_atom_site_type_symbol
_atom_site_fract_x
_atom_site_fract_y
_atom_site_fract_z
Pa1 Pa 0.5648 0.7318 0.6297
Pa2 Pa 0.4352 0.2682 0.3703
Ni1 Ni 0.0000 0.5000 0.5000
Ni2 Ni 0.0000 0.0000 0.5000
Ni3 Ni 0.3149 0.6567 0.1297
Ni4 Ni 0.6851 0.3433 0.8703
Rh1 Rh 0.2303 0.1179 0.9605
Rh2 Rh 0.7697 0.8821 0.0395
# Crystal system: monoclinic
# Relative energy among the computed polymorphs (eV per atom): 0.118
# VASP energy (eV per atom): -7.623

=====

Entry 4:
# PBE-GGA Ti2ReHIr, optimized geometry
data_Ti2ReHIr
_cell_length_a 4.2592
_cell_length_b 4.2592
_cell_length_c 3.4978
_cell_angle_alpha 90.00
_cell_angle_beta 90.00
_cell_angle_gamma 90.00
_space_group_name_H-M_alt 'P 1'
_space_group_IT_number 1
loop_
_space_group_symop_operation_xyz
'x,y,z'
loop_
_atom_site_label
_atom_site_type_symbol
_atom_site_fract_x
_atom_site_fract_y
_atom_site_fract_z
Re1 Re 0.0000 0.0000 0.5000
Ir1 Ir 0.5000 0.5000 0.5000
H1 H 0.0000 0.0000 0.0000
Ti1 Ti 0.0000 0.5000 0.0000
Ti2 Ti 0.5000 0.0000 0.0000
# Crystal system: tetragonal
# Relative energy among the computed polymorphs (eV per atom): 0.023
# VASP energy (eV per atom): -8.539

=====

Entry 5:
# PBE-GGA ZrPa2GeN6, optimized geometry
data_ZrPa2GeN6
_cell_length_a 5.0456
_cell_length_b 5.2955
_cell_length_c 5.2955
_cell_angle_alpha 90.00
_cell_angle_beta 90.00
_cell_angle_gamma 90.00
_space_group_name_H-M_alt 'P 1'
_space_group_IT_number 1
loop_
_space_group_symop_operation_xyz
'x,y,z'
loop_
_atom_site_label
_atom_site_type_symbol
_atom_site_fract_x
_atom_site_fract_y
_atom_site_fract_z
Zr1 Zr 0.5659 0.5000 0.5000
Pa1 Pa 0.9888 0.5000 0.0000
Pa2 Pa 0.9888 0.0000 0.5000
Ge1 Ge 0.5786 0.0000 0.0000
N1 N 0.7386 0.2412 0.2412
N2 N 0.7386 0.2412 0.7588
N3 N 0.1594 0.5000 0.5000
N4 N 0.2110 0.0000 0.0000
N5 N 0.7386 0.7588 0.7588
N6 N 0.7386 0.7588 0.2412
# Crystal system: tetragonal
# Raw formation energy (eV/atom): -0.936
# VASP energy (eV per atom): -9.147

=====

Entry 6:
# PBE-GGA Tl2AuO, optimized geometry
data_Tl2AuO
_cell_length_a 6.8057
_cell_length_b 6.8057
_cell_length_c 6.3315
_cell_angle_alpha 57.49
_cell_angle_beta 57.49
_cell_angle_gamma 90.00
_space_group_name_H-M_alt 'P 1'
_space_group_IT_number 1
loop_
_space_group_symop_operation_xyz
'x,y,z'
loop_
_atom_site_label
_atom_site_type_symbol
_atom_site_fract_x
_atom_site_fract_y
_atom_site_fract_z
Tl1 Tl 0.5694 0.1250 0.2500
Tl2 Tl 0.1806 0.6250 0.2500
Tl3 Tl 0.3750 0.4306 0.7500
Tl4 Tl 0.8750 0.8194 0.7500
Au1 Au 0.0000 0.0000 0.0000
Au2 Au 0.7500 0.2500 0.5000
O1 O 0.5000 0.5000 0.0000
O2 O 0.2500 0.7500 0.5000
# Crystal system: tetragonal
# Raw formation energy (eV/atom): -0.238
# Relative energy among the computed polymorphs (eV per atom): 0.000
# VASP energy (eV per atom): -3.480

=====

Entry 7:
# PBE-GGA HfReSnC2, optimized geometry
data_HfReSnC2
_cell_length_a 4.1246
_cell_length_b 5.5906
_cell_length_c 4.1246
_cell_angle_alpha 90.00
_cell_angle_beta 90.00
_cell_angle_gamma 90.00
_space_group_name_H-M_alt 'P 1'
_space_group_IT_number 1
loop_
_space_group_symop_operation_xyz
'x,y,z'
loop_
_atom_site_label
_atom_site_type_symbol
_atom_site_fract_x
_atom_site_fract_y
_atom_site_fract_z
Re1 Re 0.5000 0.5000 0.5000
C1 C 0.0000 0.0000 0.5000
C2 C 0.5000 0.0000 0.0000
Hf1 Hf 0.0000 0.5000 0.0000
Sn1 Sn 0.0000 0.0000 0.0000
# Crystal system: tetragonal
# VASP energy (eV per atom): -6.064

=====

Entry 8:
# PBE-GGA SmErZnAg, optimized geometry
data_SmErZnAg
_cell_length_a 5.1303
_cell_length_b 5.1303
_cell_length_c 5.1303
_cell_angle_alpha 60.00
_cell_angle_beta 60.00
_cell_angle_gamma 60.00
_space_group_name_H-M_alt 'P 1'
_space_group_IT_number 1
loop_
_space_group_symop_operation_xyz
'x,y,z'
loop_
_atom_site_label
_atom_site_type_symbol
_atom_site_fract_x
_atom_site_fract_y
_atom_site_fract_z
Zn1 Zn 0.7500 0.7500 0.7500
Ag1 Ag 0.2500 0.2500 0.2500
Sm1 Sm 0.5000 0.5000 0.5000
Er1 Er 0.0000 0.0000 0.0000
# Crystal system: cubic
# Relative energy among the computed polymorphs (eV per atom): 0.015
# VASP energy (eV per atom): -3.660